Record 1
DFT (GGA+U) results for crystalline Fe4OF7 at its relaxed geometry.

Lattice parameters (Å, degrees): 4.8392 4.8392 6.3788 90.00 90.00 90.57
Fractional positions:
Fe 0.0101 0.0101 0.7306
Fe 0.0101 0.0101 0.2694
Fe 0.4810 0.4810 0.5000
Fe 0.5078 0.5078 0.0000
O 0.1930 0.1930 0.5000
F 0.1987 0.1987 0.0000
F 0.7060 0.2934 0.7558
F 0.7060 0.2934 0.2442
F 0.2934 0.7060 0.7558
F 0.2934 0.7060 0.2442
F 0.7867 0.7867 0.5000
F 0.8139 0.8139 0.0000

Calculated values
**Total moment**: 1.42 μB/atom
**Energy relative to the lowest polymorph listed for this composition**: 0.307 eV/f.u.
**Symmetry**: Amm2, No. 38
**Raw total energy**: -67.73 eV per cell

Record 2
DFT (GGA+U) results for crystalline Fe6O7F5 at its relaxed geometry.

Lattice parameters (Å, degrees): 4.7317 5.6078 7.6850 84.55 86.06 84.66
Fractional positions:
Fe 0.4954 0.8295 0.6663
Fe 0.5285 0.5136 0.0063
Fe 0.4953 0.1660 0.3342
Fe 0.9983 0.3342 0.6684
Fe 0.9891 0.6641 0.3222
Fe 0.9907 0.9884 0.9992
O 0.8189 0.7123 0.1032
O 0.6987 0.2057 0.1046
O 0.7002 0.5334 0.7653
O 0.6927 0.8705 0.4367
O 0.2941 0.1336 0.5672
O 0.3114 0.4642 0.2334
O 0.3097 0.7967 0.8978
F 0.8106 0.3692 0.4419
F 0.8054 0.0418 0.7653
F 0.1969 0.9656 0.2328
F 0.1862 0.6248 0.5633
F 0.1778 0.2864 0.8920

Calculated values
**Total moment**: 1.28 μB/atom
**Energy relative to the lowest polymorph listed for this composition**: 3.329 eV/f.u.
**Symmetry**: P1, No. 1
**Raw total energy**: -106.03 eV per cell

Record 3
DFT (GGA+U) results for crystalline Fe4OF7 at its relaxed geometry.

Lattice parameters (Å, degrees): 9.6176 5.7986 5.7964 68.35 90.00 90.00
Fractional positions:
Fe 0.8671 0.0127 0.9954
Fe 0.3771 0.9999 0.0025
Fe 0.1329 0.0127 0.4954
Fe 0.1312 0.4911 0.0298
Fe 0.6229 0.9999 0.5025
Fe 0.6309 0.4954 0.9854
Fe 0.3691 0.4954 0.4854
Fe 0.8688 0.4911 0.5298
O 0.2198 0.3611 0.3294
O 0.7802 0.3611 0.8294
F 0.0260 0.1634 0.1304
F 0.5276 0.1459 0.1520
F 0.7335 0.3492 0.3501
F 0.4820 0.6524 0.1389
F 0.9740 0.1634 0.6304
F 0.9713 0.6420 0.1703
F 0.4724 0.1459 0.6520
F 0.2665 0.3492 0.8501
F 0.2745 0.8535 0.3469
F 0.7821 0.8335 0.3689
F 0.0287 0.6420 0.6703
F 0.5180 0.6524 0.6389
F 0.2179 0.8335 0.8689
F 0.7255 0.8535 0.8469

Calculated values
**Total moment**: 1.42 μB/atom
**Energy relative to the lowest polymorph listed for this composition**: 0.090 eV/f.u.
**Symmetry**: Pc, No. 7
**Raw total energy**: -135.89 eV per cell

Record 4
DFT (GGA+U) results for crystalline Fe2OF3 at its relaxed geometry.

Lattice parameters (Å, degrees): 5.7666 5.7666 9.4665 85.55 85.55 70.30
Fractional positions:
Fe 0.1100 0.1441 0.3699
Fe 0.3665 0.3792 0.1233
Fe 0.5258 0.4742 0.5000
Fe 0.2715 0.2297 0.7478
Fe 0.7703 0.7285 0.2522
Fe 0.6208 0.6335 0.8767
Fe 0.8559 0.8900 0.6301
Fe 0.9591 0.0409 0.0000
O 0.0627 0.4283 0.2550
O 0.5717 0.9373 0.7450
O 0.8164 0.1836 0.5000
O 0.6805 0.3195 0.0000
F 0.2065 0.7935 0.5000
F 0.4476 0.0212 0.2665
F 0.0173 0.0216 0.7795
F 0.2938 0.2741 0.5147
F 0.5217 0.5184 0.2941
F 0.7751 0.8025 0.0285
F 0.4816 0.4783 0.7059
F 0.1975 0.2249 0.9715
F 0.7259 0.7062 0.4853
F 0.9784 0.9827 0.2205
F 0.2648 0.7352 0.0000
F 0.9788 0.5524 0.7335

Calculated values
**Total moment**: 1.50 μB/atom
**Energy relative to the lowest polymorph listed for this composition**: 0.124 eV/f.u.
**Symmetry**: C2, No. 5
**Raw total energy**: -138.29 eV per cell

What is the raw total energy in the second record? -106.03 eV per cell

What is the raw total energy in the second record? -106.03 eV per cell

Which value of raw total energy does entry 1 give? -67.73 eV per cell

Please write out number 4 again, unchanged.
DFT (GGA+U) results for crystalline Fe2OF3 at its relaxed geometry.

Lattice parameters (Å, degrees): 5.7666 5.7666 9.4665 85.55 85.55 70.30
Fractional positions:
Fe 0.1100 0.1441 0.3699
Fe 0.3665 0.3792 0.1233
Fe 0.5258 0.4742 0.5000
Fe 0.2715 0.2297 0.7478
Fe 0.7703 0.7285 0.2522
Fe 0.6208 0.6335 0.8767
Fe 0.8559 0.8900 0.6301
Fe 0.9591 0.0409 0.0000
O 0.0627 0.4283 0.2550
O 0.5717 0.9373 0.7450
O 0.8164 0.1836 0.5000
O 0.6805 0.3195 0.0000
F 0.2065 0.7935 0.5000
F 0.4476 0.0212 0.2665
F 0.0173 0.0216 0.7795
F 0.2938 0.2741 0.5147
F 0.5217 0.5184 0.2941
F 0.7751 0.8025 0.0285
F 0.4816 0.4783 0.7059
F 0.1975 0.2249 0.9715
F 0.7259 0.7062 0.4853
F 0.9784 0.9827 0.2205
F 0.2648 0.7352 0.0000
F 0.9788 0.5524 0.7335

Calculated values
**Total moment**: 1.50 μB/atom
**Energy relative to the lowest polymorph listed for this composition**: 0.124 eV/f.u.
**Symmetry**: C2, No. 5
**Raw total energy**: -138.29 eV per cell